PrPuFe2O6: optimized geometry, PBE+U.

a = 5.600 Å, b = 5.640 Å, c = 5.884 Å
α = 89.93°, β = 62.16°, γ = 60.54°
Space group P1 (No. 1)
One atom of each set of equivalent atoms:
Pr1 0.000 0.000 0.000 (multiplicity 1)
Pu1 0.973 0.517 0.546 (multiplicity 1)
Fe1 0.559 0.728 0.171 (multiplicity 1)
Fe2 0.582 0.200 0.635 (multiplicity 1)
O1 0.088 0.804 0.353 (multiplicity 1)
O2 0.095 0.567 0.826 (multiplicity 1)
O3 0.463 0.114 0.361 (multiplicity 1)
O4 0.514 0.909 0.851 (multiplicity 1)
O5 0.747 0.333 0.818 (multiplicity 1)
O6 0.771 0.445 0.338 (multiplicity 1)

## Properties
Calculated total energy (eV/cell): -83.352
Spin magnetization (μB per cell): 11.0
Crystal system: triclinic